No. 1
Entry from Alexandria: crystalline Pr6NiRu2Cl3 at its relaxed geometry (GGA-PBE).

Lattice parameters (Å, degrees): 7.0288 12.1724 8.0480 90.00 106.92 90.00
With the nearest neighbours (Å) after each atom.
Space group C2/m (No. 12)
One atom of each set of equivalent atoms:
Pr (0.2329, 0.0000, 0.2058) (multiplicity 4)  2 Ru 2.82, 1 Ni 2.84
Pr (0.2364, 0.3321, 0.2058) (multiplicity 8)  2 Ru 2.82, 1 Ni 2.84
Ni (0.0000, 0.5000, 0.0000) (multiplicity 2)  6 Pr 2.84
Ru (0.0000, 0.1664, 0.0000) (multiplicity 4)  6 Pr 2.82
Cl (0.0000, 0.0000, 0.5000) (multiplicity 2)  6 Pr 3.25-3.27
Cl (0.0000, 0.3305, 0.5000) (multiplicity 4)  6 Pr 3.23-3.29

Results
total magnetic moment	0.00	μB/f.u.
Fermi-level density of states	7.1	states/eV per cell
uncorrected formation energy	-0.908	eV per atom

***

No. 2
Entry from Alexandria: crystalline Pr4NiRuCl2 at its relaxed geometry (GGA-PBE).

Lattice parameters (Å, degrees): 7.0084 4.0722 8.0052 90.00 106.87 90.00
With the nearest neighbours (Å) after each atom.
Space group P2/m (No. 10)
One atom of each set of equivalent atoms:
Pr (0.2334, 0.0000, 0.2088) (multiplicity 2)  2 Ru 2.83, 1 Ni 2.85
Pr (0.2660, 0.5000, 0.7987) (multiplicity 2)  1 Ru 2.80, 2 Ni 2.81
Ni (0.5000, 0.0000, 0.0000) (multiplicity 1)  6 Pr 2.81-2.85
Ru (0.0000, 0.5000, 0.0000) (multiplicity 1)  6 Pr 2.80-2.83
Cl (0.0000, 0.0000, 0.5000) (multiplicity 1)  6 Pr 3.21-3.28
Cl (0.5000, 0.5000, 0.5000) (multiplicity 1)  6 Pr 3.25-3.27

Results
total magnetic moment	0.00	μB/f.u.
Fermi-level density of states	2.2	states/eV per cell
uncorrected formation energy	-0.918	eV per atom

***

No. 3
Entry from Alexandria: crystalline Pr4NiS2Cl at its relaxed geometry (GGA-PBE).

Lattice parameters (Å, degrees): 7.2380 3.9991 7.2425 90.00 108.72 90.00
With the nearest neighbours (Å) after each atom.
Space group P2/m (No. 10)
One atom of each set of equivalent atoms:
Pr (0.2349, 0.0000, 0.2428) (multiplicity 2)  2 Ni 2.84, 3 S 2.90-2.98, 1 Cl 2.99
Pr (0.2361, 0.5000, 0.7353) (multiplicity 2)  3 S 2.82-2.94, 1 Ni 2.95, 2 Cl 3.00
Ni (0.0000, 0.5000, 0.0000) (multiplicity 1)  6 Pr 2.84-2.95
S (0.0000, 0.0000, 0.5000) (multiplicity 1)  6 Pr 2.82-2.90
S (0.5000, 0.5000, 0.5000) (multiplicity 1)  6 Pr 2.94-2.98
Cl (0.5000, 0.0000, 0.0000) (multiplicity 1)  6 Pr 2.99-3.00

Results
total magnetic moment	0.00	μB/f.u.
Fermi-level density of states	5.0	states/eV per cell
uncorrected formation energy	-1.434	eV per atom